Entry from Alexandria: Zr2Al4Si after structural relaxation (PBE-GGA).

Values from the calculation:
M_tot ... 0.000 μB/f.u.

a = 3.062 Å, b = 3.062 Å, c = 16.588 Å
α = 90.00°, β = 90.00°, γ = 120.00°
Fractional positions:
Zr  0.000  0.000  0.000
Zr  0.333  0.667  0.679
Al  0.333  0.667  0.406
Al  0.333  0.667  0.852
Al  0.667  0.333  0.141
Al  0.667  0.333  0.536
Si  0.667  0.333  0.290

=====

Entry from Alexandria: ZrAl3Si after structural relaxation (PBE-GGA).

Values from the calculation:
M_tot ... 0.000 μB/f.u.

a = 6.382 Å, b = 6.382 Å, c = 6.382 Å
α = 90.00°, β = 90.00°, γ = 90.00°
Fractional positions:
Zr  0.000  0.000  0.500
Zr  0.000  0.500  0.000
Zr  0.500  0.000  0.000
Al  0.000  0.000  0.000
Al  0.281  0.281  0.281
Al  0.281  0.281  0.719
Al  0.281  0.719  0.281
Al  0.281  0.719  0.719
Al  0.719  0.281  0.281
Al  0.719  0.281  0.719
Al  0.719  0.719  0.281
Al  0.719  0.719  0.719
Si  0.000  0.500  0.500
Si  0.500  0.000  0.500
Si  0.500  0.500  0.000

=====

Entry from Alexandria: ZrAl2Si3 after structural relaxation (PBE-GGA).

Values from the calculation:
M_tot ... 0.000 μB/f.u.

a = 9.047 Å, b = 9.047 Å, c = 2.853 Å
α = 90.00°, β = 90.00°, γ = 120.00°
Fractional positions:
Zr  0.333  0.667  0.000
Zr  0.667  0.333  0.000
Al  0.000  0.000  0.500
Al  0.000  0.500  0.500
Al  0.500  0.000  0.500
Al  0.500  0.500  0.500
Si  0.171  0.342  0.500
Si  0.171  0.829  0.500
Si  0.342  0.171  0.500
Si  0.658  0.829  0.500
Si  0.829  0.171  0.500
Si  0.829  0.658  0.500

=====

Ordered formation energy from raw total energies results: 0.07; 0.04; -0.08; unit eV per atom.